Cs2InBiS4 | PBE | optimized geometry

Computed properties:
Uncorrected formation energy   -582 kJ/mol of formula units
SG   Pmn2_1 (31)

Structure (extended XYZ):
```
16
Lattice="7.026 0.000 0.000 0.000 9.603 0.000 0.000 0.000 9.297" Properties=species:S:1:pos:R:3 pbc="T T T"
Cs 3.210 3.297 2.330
Cs 3.210 3.297 6.966
Cs 6.723 6.306 6.978
Cs 6.723 6.306 2.318
In 3.491 8.221 4.648
In 7.004 1.382 0.000
Bi 6.940 1.390 4.648
Bi 3.427 8.213 0.000
S 2.505 0.999 0.000
S 6.018 8.604 4.648
S 2.470 0.919 4.648
S 5.983 8.684 0.000
S 3.138 6.903 6.734
S 6.651 2.700 2.086
S 6.651 2.700 7.211
S 3.138 6.903 2.562
```